{
  "formula": "LiEr2FeO5",
  "functional": "GGA+U",
  "state": "relaxed",
  "lattice": [[1.634, -6.746, 0.000], [1.634, 6.746, 0.000], [0.000, 0.000, 8.884]],
  "species": ["Li", "Li", "Er", "Er", "Er", "Er", "Fe", "Fe", "O", "O", "O", "O", "O", "O", "O", "O", "O", "O"],
  "frac_coords": [[0.225, 0.775, 0.500], [0.775, 0.225, 0.000], [0.118, 0.882, 0.804], [0.125, 0.875, 0.181], [0.875, 0.125, 0.681], [0.882, 0.118, 0.304], [0.416, 0.584, 0.984], [0.584, 0.416, 0.484], [0.030, 0.970, 0.566], [0.302, 0.698, 0.842], [0.316, 0.684, 0.149], [0.359, 0.641, 0.502], [0.488, 0.512, 0.798], [0.512, 0.488, 0.298], [0.641, 0.359, 0.002], [0.684, 0.316, 0.649], [0.698, 0.302, 0.342], [0.970, 0.030, 0.066]],
  "final_energy_ev_per_atom": -7.19
}